1.
A geometry-optimized CsHfIrO6 structure, computed with PBE-GGA.

The structure in POSCAR format:
```
CsHfIrO6
1.0
-3.513 0.924 -4.029
-4.681 -2.734 -0.198
-2.962 4.805 3.685
O Hf Cs Ir
6 1 1 1
direct
0.596 0.382 0.665
0.022 0.596 0.665
0.596 0.022 0.335
0.382 0.022 0.665
0.022 0.382 0.335
0.382 0.596 0.335
0.667 0.667 0.500
0.000 0.000 0.000
0.333 0.333 0.500
```

Output
Its uncorrected energy is -64.42 eV/cell. The value obtained for the size of the total moment is 0.21 μB/atom. The value obtained for the density of states at the Fermi level is 4.91 states/eV per cell. Its space group is P312, No. 149.

2.
A geometry-optimized AcOsPdO6 structure, computed with PBE-GGA.

The structure in POSCAR format:
```
AcOsPdO6
1.0
-1.551 6.382 1.812
-3.021 -2.450 6.044
6.780 -1.559 -1.517
O Os Ac Pd
12 2 2 2
direct
0.569 0.441 0.753
0.431 0.559 0.247
0.816 0.559 0.247
0.425 0.175 0.850
0.184 0.812 0.753
0.816 0.188 0.247
0.848 0.098 0.696
0.184 0.441 0.753
0.569 0.812 0.753
0.152 0.902 0.304
0.575 0.825 0.150
0.431 0.188 0.247
0.500 0.500 0.000
0.500 0.000 0.000
0.178 0.428 0.356
0.822 0.572 0.644
0.000 0.000 0.500
0.500 0.000 0.500
```

Output
Its uncorrected energy is -125.44 eV/cell. The value obtained for the size of the total moment is 0.02 μB/atom. The value obtained for the density of states at the Fermi level is 10.93 states/eV per cell. Its space group is Imma, No. 74.

3.
A geometry-optimized Dy2YHoMg structure, computed with PBE-GGA.

The structure in POSCAR format:
```
Dy2YHoMg
1.0
-0.828 4.795 2.666
-6.042 -0.787 -0.461
-3.176 -4.718 7.500
Y Dy Mg Ho
2 4 2 2
direct
0.750 0.355 0.609
0.250 0.645 0.391
0.250 0.021 0.602
0.750 0.979 0.398
0.250 0.250 0.201
0.750 0.750 0.799
0.250 0.424 0.801
0.750 0.576 0.199
0.250 0.831 0.001
0.750 0.169 0.999
```

Output
The calculated formation energy comes out at 0.1 eV/f.u. The value obtained for the size of the total moment is 0.00 μB/atom. The value obtained for the density of states at the Fermi level is 13.51 states/eV per cell. Its space group is P2_1/m, No. 11.

4.
A geometry-optimized NdTiNi2 structure, computed with PBE-GGA.

The structure in POSCAR format:
```
NdTiNi2
1.0
3.127 0.000 0.000
0.000 3.127 0.000
0.000 0.000 6.983
Nd Ni Ti
1 2 1
direct
0.500 0.500 0.500
0.000 0.000 0.186
0.000 0.000 0.814
0.500 0.500 0.000
```

Output
The calculated formation energy comes out at -1.1 eV/f.u. The value obtained for the size of the total moment is 0.00 μB/atom. The value obtained for the density of states at the Fermi level is 3.43 states/eV per cell. The value obtained for the energy above the most stable polymorph in this dataset is 36 meV/atom. Its space group is P4/mmm, No. 123.